[1]
# RhPbW2

An optimized crystal structure of RhPbW2 (GGA-PBE, Alexandria via LeMat-Bulk).

It has space group P4/mmm (No. 123), with a = 4.837 Å, b = 4.837 Å, c = 2.986 Å, α = 90.00°, β = 90.00° and γ = 90.00°. Symmetry generates all atoms from Rh at (0.000, 0.000, 0.000), Pb at (0.500, 0.500, 0.000) and W at (0.000, 0.500, 0.500).

As for the energy relative to the elements: 0.935 eV per atom. The value obtained for the uncorrected energy is -33.227 eV per formula unit. As for the crystal system: tetragonal.



[2]
# RhPbW2

An optimized crystal structure of RhPbW2 (GGA-PBE, Alexandria via LeMat-Bulk).

It has space group Cm (No. 8), with a = 9.225 Å, b = 3.138 Å, c = 5.080 Å, α = 90.00°, β = 103.28° and γ = 90.00°. Symmetry generates all atoms from Rh at (0.000, 0.000, 0.000), Pb at (0.262, 0.500, 0.254), W at (0.032, 0.500, 0.564) and W at (0.258, 0.000, 0.749).

As for the energy relative to the elements: 0.589 eV per atom. The value obtained for the uncorrected energy is -34.609 eV per formula unit. As for the crystal system: monoclinic.



[3]
# RhPbW2

An optimized crystal structure of RhPbW2 (GGA-PBE, Alexandria via LeMat-Bulk).

It has space group P4/mmm (No. 123), with a = 3.860 Å, b = 3.860 Å, c = 4.653 Å, α = 90.00°, β = 90.00° and γ = 90.00°. Symmetry generates all atoms from Rh at (0.000, 0.000, 0.000), Pb at (0.500, 0.500, 0.000) and W at (0.000, 0.500, 0.500).

As for the energy relative to the elements: 0.593 eV per atom. The value obtained for the uncorrected energy is -34.593 eV per formula unit. As for the crystal system: tetragonal.



[4]
# RhPbW2

An optimized crystal structure of RhPbW2 (GGA-PBE, Alexandria via LeMat-Bulk).

It has space group R3m (No. 160, hexagonal axes), with a = 2.9546 Å, b = 2.9546 Å, c = 28.6557 Å, α = 90.00°, β = 90.00° and γ = 120.00°. Symmetry generates all atoms from Rh at (0.0000, 0.0000, 0.0000), Pb at (0.0000, 0.0000, 0.2438), W at (0.0000, 0.0000, 0.4854) and W at (0.0000, 0.0000, 0.7370).

As for the energy relative to the elements: 0.524 eV per atom. The value obtained for the uncorrected energy is -34.870 eV per formula unit. As for the crystal system: trigonal.



[5]
# RhPbW

An optimized crystal structure of RhPbW (GGA-PBE, Alexandria via LeMat-Bulk).

It has space group F-43m (No. 216), with a = 6.241 Å, b = 6.241 Å, c = 6.241 Å, α = 90.00°, β = 90.00° and γ = 90.00°. Symmetry generates all atoms from Rh at (0.000, 0.000, 0.000), Pb at (0.250, 0.250, 0.750) and W at (0.250, 0.250, 0.250).

The relative energy among the computed polymorphs comes out at 0.1964 eV/atom. As for the energy relative to the elements: 0.588 eV per atom. The value obtained for the uncorrected energy is -22.250 eV per formula unit. As for the crystal system: cubic.



[6]
# YRh2PbW

An optimized crystal structure of YRh2PbW (GGA-PBE, Alexandria via LeMat-Bulk).

It has space group P4/mmm (No. 123), with a = 4.766 Å, b = 4.766 Å, c = 5.406 Å, α = 90.00°, β = 90.00° and γ = 90.00°. Symmetry generates all atoms from Y at (0.000, 0.000, 0.000), Rh at (0.000, 0.500, 0.500), Pb at (0.500, 0.500, 0.000) and W at (0.000, 0.000, 0.500).

As for the energy relative to the elements: 0.662 eV per atom. The value obtained for the uncorrected energy is -34.517 eV per formula unit. As for the crystal system: tetragonal.



[7]
# Y2RhPb

An optimized crystal structure of Y2RhPb (GGA-PBE, Alexandria via LeMat-Bulk).

It has space group I-4m2 (No. 119), with a = 4.310 Å, b = 4.310 Å, c = 10.353 Å, α = 90.00°, β = 90.00° and γ = 90.00°. Symmetry generates all atoms from Y at (0.000, 0.000, 0.000), Y at (0.000, 0.500, 0.250), Rh at (0.000, 0.000, 0.500) and Pb at (0.000, 0.500, 0.750).

As for the energy relative to the elements: -0.442 eV per atom. The value obtained for the uncorrected energy is -25.756 eV per formula unit. As for the crystal system: tetragonal.



[8]
# Y2RhPb

An optimized crystal structure of Y2RhPb (GGA-PBE, Alexandria via LeMat-Bulk).

It has space group P2/m (No. 10), with a = 3.478 Å, b = 3.503 Å, c = 8.044 Å, α = 90.00°, β = 90.09° and γ = 90.00°. Symmetry generates all atoms from Y at (0.001, 0.000, 0.291), Rh at (0.500, 0.500, 0.500) and Pb at (0.500, 0.500, 0.000).

As for the energy relative to the elements: -0.669 eV per atom. The value obtained for the uncorrected energy is -26.665 eV per formula unit. As for the crystal system: monoclinic.



[9]
# Y4RhPb

An optimized crystal structure of Y4RhPb (GGA-PBE, Alexandria via LeMat-Bulk).

It has space group C2/c (No. 15), with a = 9.039 Å, b = 13.548 Å, c = 6.106 Å, α = 90.00°, β = 114.45° and γ = 90.00°. Symmetry generates all atoms from Y at (0.112, 0.171, 0.072), Y at (0.216, 0.428, 0.335), Rh at (0.000, 0.000, 0.250) and Pb at (0.000, 0.371, 0.750).

The relative energy among the computed polymorphs comes out at 0.0000 eV/atom. As for the energy relative to the elements: -0.516 eV per atom. The value obtained for the uncorrected energy is -40.011 eV per formula unit. As for the crystal system: monoclinic.



[10]
# Y3Rh8Pb

An optimized crystal structure of Y3Rh8Pb (GGA-PBE, Alexandria via LeMat-Bulk).

It has space group R3m (No. 160, hexagonal axes), with a = 5.3314 Å, b = 5.3314 Å, c = 26.3051 Å, α = 90.00°, β = 90.00° and γ = 120.00°. Symmetry generates all atoms from Y at (0.0000, 0.0000, 0.0000), Y at (0.0000, 0.0000, 0.1278), Y at (0.0000, 0.0000, 0.5069), Rh at (0.0000, 0.0000, 0.3158), Rh at (0.0000, 0.0000, 0.8160), Rh at (0.9997, 0.4998, 0.0667), Rh at (0.1674, 0.3347, 0.8985) and Pb at (0.0000, 0.0000, 0.6296).

As for the energy relative to the elements: -0.573 eV per atom. The value obtained for the uncorrected energy is -88.790 eV per formula unit. As for the crystal system: trigonal.



[11]
# Y2RhPb

An optimized crystal structure of Y2RhPb (GGA-PBE, Alexandria via LeMat-Bulk).

It has space group Imm2 (No. 44), with a = 3.485 Å, b = 4.835 Å, c = 11.876 Å, α = 90.00°, β = 90.00° and γ = 90.00°. Symmetry generates all atoms from Y at (0.000, 0.000, 0.000), Y at (0.000, 0.500, 0.207), Rh at (0.000, 0.000, 0.507) and Pb at (0.000, 0.500, 0.804).

As for the energy relative to the elements: -0.537 eV per atom. The value obtained for the uncorrected energy is -26.134 eV per formula unit. As for the crystal system: orthorhombic.



[12]
# Y5Rh2Pb5

An optimized crystal structure of Y5Rh2Pb5 (GGA-PBE, Alexandria via LeMat-Bulk).

It has space group C2/m (No. 12), with a = 16.018 Å, b = 4.599 Å, c = 10.587 Å, α = 90.00°, β = 127.34° and γ = 90.00°. Symmetry generates all atoms from Y at (0.000, 0.000, 0.000), Y at (0.142, 0.000, 0.854), Y at (0.166, 0.000, 0.511), Rh at (0.149, 0.500, 0.053), Pb at (0.000, 0.500, 0.500), Pb at (0.053, 0.500, 0.247) and Pb at (0.246, 0.000, 0.241).

As for the energy relative to the elements: -0.568 eV per atom. The value obtained for the uncorrected energy is -72.377 eV per formula unit. As for the crystal system: monoclinic.



[13]
# Y4Rh2Pb5

An optimized crystal structure of Y4Rh2Pb5 (GGA-PBE, Alexandria via LeMat-Bulk).

It has space group P2/m (No. 10), with a = 8.071 Å, b = 3.640 Å, c = 9.822 Å, α = 90.00°, β = 93.42° and γ = 90.00°. Symmetry generates all atoms from Y at (0.199, 0.000, 0.341), Y at (0.200, 0.000, 0.929), Rh at (0.084, 0.500, 0.136), Pb at (0.139, 0.500, 0.634), Pb at (0.458, 0.500, 0.161) and Pb at (0.500, 0.500, 0.500).

As for the energy relative to the elements: -0.570 eV per atom. The value obtained for the uncorrected energy is -65.372 eV per formula unit. As for the crystal system: monoclinic.



[14]
# Y3Rh4Pb

An optimized crystal structure of Y3Rh4Pb (GGA-PBE, Alexandria via LeMat-Bulk).

It has space group R-3m (No. 166, hexagonal axes), with a = 4.8138 Å, b = 4.8138 Å, c = 23.6681 Å, α = 90.00°, β = 90.00° and γ = 120.00°. Symmetry generates all atoms from Y at (0.0000, 0.0000, 0.0000), Y at (0.0000, 0.0000, 0.2460), Rh at (0.0000, 0.0000, 0.1221), Rh at (0.0000, 0.0000, 0.3746) and Pb at (0.0000, 0.0000, 0.5000).

As for the energy relative to the elements: -0.685 eV per atom. The value obtained for the uncorrected energy is -57.989 eV per formula unit. As for the crystal system: trigonal.



[15]
# Y3Rh2Pb3

An optimized crystal structure of Y3Rh2Pb3 (GGA-PBE, Alexandria via LeMat-Bulk).

It has space group Cmcm (No. 63), with a = 4.689 Å, b = 11.113 Å, c = 14.953 Å, α = 90.00°, β = 90.00° and γ = 90.00°. Symmetry generates all atoms from Y at (0.000, 0.068, 0.112), Y at (0.000, 0.342, 0.250), Rh at (0.000, 0.194, 0.616), Pb at (0.000, 0.363, 0.031) and Pb at (0.000, 0.367, 0.750).

As for the energy relative to the elements: -0.585 eV per atom. The value obtained for the uncorrected energy is -49.903 eV per formula unit. As for the crystal system: orthorhombic.



[16]
# Y11Rh4Pb9

An optimized crystal structure of Y11Rh4Pb9 (GGA-PBE, Alexandria via LeMat-Bulk).

It has space group Cmmm (No. 65), with a = 14.760 Å, b = 22.041 Å, c = 3.792 Å, α = 90.00°, β = 90.00° and γ = 90.00°. Symmetry generates all atoms from Y at (0.000, 0.000, 0.000), Y at (0.000, 0.162, 0.000), Y at (0.000, 0.372, 0.000), Y at (0.189, 0.500, 0.000), Y at (0.249, 0.167, 0.000), Rh at (0.152, 0.398, 0.500), Pb at (0.000, 0.500, 0.500), Pb at (0.112, 0.260, 0.500) and Pb at (0.143, 0.074, 0.500).

As for the energy relative to the elements: -0.619 eV per atom. The value obtained for the uncorrected energy is -148.737 eV per formula unit. As for the crystal system: orthorhombic.



[17]
# Y2Rh2Pb

An optimized crystal structure of Y2Rh2Pb (GGA-PBE, Alexandria via LeMat-Bulk).

It has space group I4/mmm (No. 139), with a = 5.426 Å, b = 5.426 Å, c = 8.142 Å, α = 90.00°, β = 90.00° and γ = 90.00°. Symmetry generates all atoms from Y at (0.000, 0.500, 0.250), Rh at (0.000, 0.000, 0.161) and Pb at (0.000, 0.000, 0.500).

As for the energy relative to the elements: -0.472 eV per atom. The value obtained for the uncorrected energy is -33.700 eV per formula unit. As for the crystal system: tetragonal.



[18]
# Y2RhPb

An optimized crystal structure of Y2RhPb (GGA-PBE, Alexandria via LeMat-Bulk).

It has space group Cmmm (No. 65), with a = 7.017 Å, b = 7.024 Å, c = 3.909 Å, α = 90.00°, β = 90.00° and γ = 90.00°. Symmetry generates all atoms from Y at (0.250, 0.250, 0.000), Rh at (0.000, 0.000, 0.500) and Pb at (0.000, 0.500, 0.500).

As for the energy relative to the elements: -0.541 eV per atom. The value obtained for the uncorrected energy is -26.153 eV per formula unit. As for the crystal system: orthorhombic.



[19]
# Y2RhPb

An optimized crystal structure of Y2RhPb (GGA-PBE, Alexandria via LeMat-Bulk).

It has space group I4/mmm (No. 139), with a = 3.867 Å, b = 3.867 Å, c = 15.206 Å, α = 90.00°, β = 90.00° and γ = 90.00°. Symmetry generates all atoms from Y at (0.000, 0.000, 0.173), Rh at (0.000, 0.000, 0.000) and Pb at (0.000, 0.000, 0.500).

As for the energy relative to the elements: -0.088 eV per atom. The value obtained for the uncorrected energy is -24.342 eV per formula unit. As for the crystal system: tetragonal.



[20]
# Y2RhPb

An optimized crystal structure of Y2RhPb (GGA-PBE, Alexandria via LeMat-Bulk).

It has space group Amm2 (No. 38), with a = 4.278 Å, b = 4.194 Å, c = 11.294 Å, α = 90.00°, β = 90.00° and γ = 90.00°. Symmetry generates all atoms from Y at (0.000, 0.000, 0.000), Y at (0.500, 0.000, 0.296), Rh at (0.000, 0.000, 0.752) and Pb at (0.500, 0.000, 0.581).

As for the energy relative to the elements: -0.585 eV per atom. The value obtained for the uncorrected energy is -26.329 eV per formula unit. As for the crystal system: orthorhombic.



[21]
# Y2Rh2Pb

An optimized crystal structure of Y2Rh2Pb (GGA-PBE, Alexandria via LeMat-Bulk).

It has space group Immm (No. 71), with a = 4.521 Å, b = 5.940 Å, c = 8.251 Å, α = 90.00°, β = 90.00° and γ = 90.00°. Symmetry generates all atoms from Y at (0.000, 0.000, 0.206), Rh at (0.000, 0.280, 0.500) and Pb at (0.000, 0.500, 0.000).

As for the energy relative to the elements: -0.690 eV per atom. The value obtained for the uncorrected energy is -34.791 eV per formula unit. As for the crystal system: orthorhombic.



[22]
# Y2RhPb

An optimized crystal structure of Y2RhPb (GGA-PBE, Alexandria via LeMat-Bulk).

It has space group F-43m (No. 216), with a = 7.157 Å, b = 7.157 Å, c = 7.157 Å, α = 90.00°, β = 90.00° and γ = 90.00°. Symmetry generates all atoms from Y at (0.000, 0.000, 0.000), Y at (0.250, 0.250, 0.250), Rh at (0.000, 0.000, 0.500) and Pb at (0.250, 0.250, 0.750).

As for the energy relative to the elements: -0.260 eV per atom. The value obtained for the uncorrected energy is -25.026 eV per formula unit. As for the crystal system: cubic.



[23]
# Y2RhPb

An optimized crystal structure of Y2RhPb (GGA-PBE, Alexandria via LeMat-Bulk).

It has space group C2/m (No. 12), with a = 6.704 Å, b = 3.779 Å, c = 8.808 Å, α = 90.00°, β = 103.63° and γ = 90.00°. Symmetry generates all atoms from Y at (0.232, 0.000, 0.196), Rh at (0.000, 0.500, 0.000) and Pb at (0.000, 0.000, 0.500).

As for the energy relative to the elements: -0.549 eV per atom. The value obtained for the uncorrected energy is -26.183 eV per formula unit. As for the crystal system: monoclinic.



[24]
# Y2RhPb

An optimized crystal structure of Y2RhPb (GGA-PBE, Alexandria via LeMat-Bulk).

It has space group P4mm (No. 99), with a = 3.479 Å, b = 3.479 Å, c = 8.338 Å, α = 90.00°, β = 90.00° and γ = 90.00°. Symmetry generates all atoms from Y at (0.000, 0.000, 0.000), Y at (0.500, 0.500, 0.340), Rh at (0.500, 0.500, 0.801) and Pb at (0.000, 0.000, 0.608).

As for the energy relative to the elements: -0.297 eV per atom. The value obtained for the uncorrected energy is -25.174 eV per formula unit. As for the crystal system: tetragonal.



[25]
# Y4RhPb

An optimized crystal structure of Y4RhPb (GGA-PBE, Alexandria via LeMat-Bulk).

It has space group F-43m (No. 216), with a = 8.684 Å, b = 8.684 Å, c = 8.684 Å, α = 90.00°, β = 90.00° and γ = 90.00°. Symmetry generates all atoms from Y at (0.125, 0.125, 0.125), Rh at (0.000, 0.000, 0.500) and Pb at (0.250, 0.250, 0.750).

The relative energy among the computed polymorphs comes out at 0.8980 eV/atom. As for the energy relative to the elements: 0.382 eV per atom. The value obtained for the uncorrected energy is -34.623 eV per formula unit. As for the crystal system: cubic.



[26]
# Y2RhPb

An optimized crystal structure of Y2RhPb (GGA-PBE, Alexandria via LeMat-Bulk).

It has space group Pmm2 (No. 25), with a = 3.697 Å, b = 4.551 Å, c = 6.415 Å, α = 90.00°, β = 90.00° and γ = 90.00°. Symmetry generates all atoms from Y at (0.000, 0.000, 0.000), Y at (0.500, 0.500, 0.339), Rh at (0.500, 0.500, 0.923) and Pb at (0.000, 0.000, 0.520).

As for the energy relative to the elements: -0.362 eV per atom. The value obtained for the uncorrected energy is -25.436 eV per formula unit. As for the crystal system: orthorhombic.